# Sm3Sb4Pt7 | Alexandria via LeMat-Bulk | meta-GGA SCAN | single point on PBEsol structure
data_Sm3Sb4Pt7
_space_group_name_H-M_alt 'C 1 2/m 1'
_space_group_IT_number 12
_space_group_name_Hall '-C 2y'
_cell_length_a 16.402
_cell_length_b 4.247
_cell_length_c 10.373
_cell_angle_alpha 90.00
_cell_angle_beta 128.95
_cell_angle_gamma 90.00
loop_
_atom_site_label
_atom_site_fract_x
_atom_site_fract_y
_atom_site_fract_z
Sm1 0.000 0.000 0.000
Sm2 0.173 0.500 0.687
Sb1 0.141 0.000 0.411
Sb2 0.171 0.500 0.024
Pt1 0.000 0.000 0.500
Pt2 0.016 0.500 0.328
Pt3 0.122 0.000 0.843
Pt4 0.168 0.500 0.269
# * energy relative to the elements, uncorrected: -1.046 eV per atom
# * total moment: 0.00 μB per cell